This record from Alexandria describes a relaxed structure of HoErAu2. The functional is GGA-PBE.

Calculated values
SG = No. 123
energy above the most stable polymorph in this dataset = 18 meV/atom
energy relative to the elements = -876 meV/atom

abc: 5.0781 5.0781 3.5485
angles: 90.00 90.00 90.00
Element x y z (fractional)
Ho 0.0000 0.0000 0.0000
Er 0.5000 0.5000 0.0000
Au 0.0000 0.5000 0.5000
Au 0.5000 0.0000 0.5000


This record from Alexandria describes a relaxed structure of HfMgMnTe2. The functional is GGA-PBE.

Calculated values
formation energy (no corrections) = 0.5040 eV/atom
SG = No. 123

abc: 5.1478 5.1478 4.6935
angles: 90.00 90.00 90.00
Element x y z (fractional)
Hf 0.0000 0.0000 0.0000
Mg 0.5000 0.5000 0.0000
Mn 0.5000 0.5000 0.5000
Te 0.0000 0.5000 0.5000
Te 0.5000 0.0000 0.5000


This record from Alexandria describes a relaxed structure of HgOsPb2. The functional is GGA-PBE.

Calculated values
SG = No. 123
energy relative to the elements = 469 meV/atom

abc: 3.3226 3.3226 9.1545
angles: 90.00 90.00 90.00
Element x y z (fractional)
Hg 0.0000 0.0000 0.0000
Os 0.0000 0.0000 0.5000
Pb 0.5000 0.5000 0.3087
Pb 0.5000 0.5000 0.6913


This record from Alexandria describes a relaxed structure of AlAu2F. The functional is GGA-PBE.

Calculated values
formation energy (no corrections) = -0.4728 eV/atom
SG = No. 225
energy above the most stable polymorph in this dataset = 121 meV/atom

abc: 6.2903 6.2903 6.2903
angles: 90.00 90.00 90.00
Element x y z (fractional)
Al 0.0000 0.0000 0.0000
Al 0.0000 0.5000 0.5000
Al 0.5000 0.0000 0.5000
Al 0.5000 0.5000 0.0000
Au 0.2500 0.2500 0.2500
Au 0.2500 0.2500 0.7500
Au 0.2500 0.7500 0.2500
Au 0.2500 0.7500 0.7500
Au 0.7500 0.2500 0.2500
Au 0.7500 0.2500 0.7500
Au 0.7500 0.7500 0.2500
Au 0.7500 0.7500 0.7500
F 0.0000 0.0000 0.5000
F 0.0000 0.5000 0.0000
F 0.5000 0.0000 0.0000
F 0.5000 0.5000 0.5000


This record from Alexandria describes a relaxed structure of Tb3SmBi. The functional is GGA-PBE.

Calculated values
SG = No. 62
energy relative to the elements = -252 meV/atom

abc: 10.8186 4.0113 14.9309
angles: 90.00 90.00 90.00
Element x y z (fractional)
Tb 0.0893 0.2500 0.0745
Tb 0.1139 0.7500 0.2652
Tb 0.1331 0.7500 0.6815
Tb 0.3669 0.2500 0.1815
Tb 0.3861 0.2500 0.7652
Tb 0.4107 0.7500 0.5745
Tb 0.5893 0.2500 0.4255
Tb 0.6139 0.7500 0.2348
Tb 0.6331 0.7500 0.8185
Tb 0.8669 0.2500 0.3185
Tb 0.8861 0.2500 0.7348
Tb 0.9107 0.7500 0.9255
Sm 0.1597 0.2500 0.4709
Sm 0.3403 0.7500 0.9709
Sm 0.6597 0.2500 0.0291
Sm 0.8403 0.7500 0.5291
Bi 0.1303 0.2500 0.8620
Bi 0.3697 0.7500 0.3620
Bi 0.6303 0.2500 0.6380
Bi 0.8697 0.7500 0.1380


This record from Alexandria describes a relaxed structure of HgPdS. The functional is GGA-PBE.

Calculated values
formation energy (no corrections) = -0.2115 eV/atom
SG = No. 2
energy above the most stable polymorph in this dataset = 0 meV/atom

abc: 3.5820 5.8643 6.3521
angles: 86.05 89.78 74.40
Element x y z (fractional)
Hg 0.1396 0.1526 0.1744
Hg 0.8604 0.8474 0.8256
Pd 0.0000 0.5000 0.5000
Pd 0.5000 0.5000 0.0000
S 0.4133 0.6974 0.3146
S 0.5867 0.3026 0.6854